Entry 1:
SmAl2GaPd4: relaxed, PBE.

CIF file:
```
data_SmAl2GaPd4
_chemical_formula_sum 'Sm3 Al6 Ga3 Pd12'
_space_group_name_H-M_alt 'R -3 m'
_space_group_IT_number 166
_space_group_name_Hall '-R 3 2"'
_cell_length_a 4.3188
_cell_length_b 4.3188
_cell_length_c 25.9694
_cell_angle_alpha 90.00
_cell_angle_beta 90.00
_cell_angle_gamma 120.00
loop_
_atom_site_label
_atom_site_type_symbol
_atom_site_fract_x
_atom_site_fract_y
_atom_site_fract_z
_atom_site_occupancy
Sm1 Sm 0.0000 0.0000 0.0000 1
Al1 Al 0.0000 0.0000 0.2411 1
Ga1 Ga 0.0000 0.0000 0.5000 1
Pd1 Pd 0.0000 0.0000 0.1335 1
Pd2 Pd 0.0000 0.0000 0.4029 1
```

Output
Its density of states at the Fermi level is 0.361 states/eV per atom. The calculation puts the total energy at -5.294 eV/atom. The total magnetic moment is 0.0 μB per formula unit.

=====

Entry 2:
CaPm4Mg5: relaxed, PBE.

CIF file:
```
data_CaPm4Mg5
_chemical_formula_sum 'Ca1 Pm4 Mg5'
_space_group_name_H-M_alt 'P 4/m m m'
_space_group_IT_number 123
_space_group_name_Hall '-P 4 2'
_cell_length_a 3.8915
_cell_length_b 3.8915
_cell_length_c 19.3868
_cell_angle_alpha 90.00
_cell_angle_beta 90.00
_cell_angle_gamma 90.00
loop_
_atom_site_label
_atom_site_type_symbol
_atom_site_fract_x
_atom_site_fract_y
_atom_site_fract_z
_atom_site_occupancy
Ca1 Ca 0.0000 0.0000 0.0000 1
Pm1 Pm 0.0000 0.0000 0.2059 1
Pm2 Pm 0.0000 0.0000 0.4012 1
Mg1 Mg 0.5000 0.5000 0.1066 1
Mg2 Mg 0.5000 0.5000 0.3029 1
Mg3 Mg 0.5000 0.5000 0.5000 1
```

Output
Its density of states at the Fermi level is 1.012 states/eV per atom. The calculation puts the total energy at -2.998 eV/atom. The total magnetic moment is 0.0 μB per formula unit.

=====

Entry 3:
Pm4InSb3: relaxed, PBE.

CIF file:
```
data_Pm4InSb3
_chemical_formula_sum 'Pm4 In1 Sb3'
_space_group_name_H-M_alt 'P m -3 m'
_space_group_IT_number 221
_space_group_name_Hall '-P 4 2 3'
_cell_length_a 6.3558
_cell_length_b 6.3558
_cell_length_c 6.3558
_cell_angle_alpha 90.00
_cell_angle_beta 90.00
_cell_angle_gamma 90.00
loop_
_atom_site_label
_atom_site_type_symbol
_atom_site_fract_x
_atom_site_fract_y
_atom_site_fract_z
_atom_site_occupancy
Pm1 Pm 0.0000 0.0000 0.0000 1
Pm2 Pm 0.0000 0.5000 0.5000 1
In1 In 0.5000 0.5000 0.5000 1
Sb1 Sb 0.0000 0.0000 0.5000 1
```

Output
Its density of states at the Fermi level is 0.440 states/eV per atom. The total magnetic moment is 0.0 μB per formula unit. The energy relative to the elements, uncorrected is -0.907 eV per atom.

=====

Entry 4:
TiAsBr2O: relaxed, PBE.

CIF file:
```
data_TiAsBr2O
_chemical_formula_sum 'Ti1 As1 Br2 O1'
_space_group_name_H-M_alt 'P 4/m m m'
_space_group_IT_number 123
_space_group_name_Hall '-P 4 2'
_cell_length_a 4.6657
_cell_length_b 4.6657
_cell_length_c 4.3696
_cell_angle_alpha 90.00
_cell_angle_beta 90.00
_cell_angle_gamma 90.00
loop_
_atom_site_label
_atom_site_type_symbol
_atom_site_fract_x
_atom_site_fract_y
_atom_site_fract_z
_atom_site_occupancy
Ti1 Ti 0.0000 0.0000 0.0000 1
As1 As 0.5000 0.5000 0.0000 1
Br1 Br 0.0000 0.5000 0.5000 1
O1 O 0.5000 0.5000 0.5000 1
```

Output
Its density of states at the Fermi level is 1.335 states/eV per atom. The total magnetic moment is 0.0 μB per formula unit. The energy relative to the elements, uncorrected is 0.447 eV per atom. The value obtained for the excess energy over the best structure of this formula in the dataset is 0.207 eV/atom.

=====

Entry 5:
ScI2Cl: relaxed, PBE.

CIF file:
```
data_ScI2Cl
_chemical_formula_sum 'Sc4 I8 Cl4'
_space_group_name_H-M_alt 'F m -3 m'
_space_group_IT_number 225
_space_group_name_Hall '-F 4 2 3'
_cell_length_a 7.5069
_cell_length_b 7.5069
_cell_length_c 7.5069
_cell_angle_alpha 90.00
_cell_angle_beta 90.00
_cell_angle_gamma 90.00
loop_
_atom_site_label
_atom_site_type_symbol
_atom_site_fract_x
_atom_site_fract_y
_atom_site_fract_z
_atom_site_occupancy
Sc1 Sc 0.0000 0.0000 0.0000 1
I1 I 0.2500 0.2500 0.2500 1
Cl1 Cl 0.0000 0.0000 0.5000 1
```

Output
Its density of states at the Fermi level is 0.000 states/eV per atom. The total magnetic moment is 0.0 μB per formula unit. The energy relative to the elements, uncorrected is -0.721 eV per atom. The value obtained for the excess energy over the best structure of this formula in the dataset is 0.769 eV/atom.

=====

Entry 6:
Pm2Sc3Pd2: relaxed, PBE.

CIF file:
```
data_Pm2Sc3Pd2
_chemical_formula_sum 'Pm4 Sc6 Pd4'
_space_group_name_H-M_alt 'C 1 2/m 1'
_space_group_IT_number 12
_space_group_name_Hall '-C 2y'
_cell_length_a 12.1581
_cell_length_b 3.6131
_cell_length_c 8.6569
_cell_angle_alpha 90.00
_cell_angle_beta 117.85
_cell_angle_gamma 90.00
loop_
_atom_site_label
_atom_site_type_symbol
_atom_site_fract_x
_atom_site_fract_y
_atom_site_fract_z
_atom_site_occupancy
Pm1 Pm 0.1482 0.0000 0.3074 1
Sc1 Sc 0.0000 0.5000 0.5000 1
Sc2 Sc 0.1157 0.5000 0.9425 1
Pd1 Pd 0.1601 0.0000 0.7390 1
```

Output
Its density of states at the Fermi level is 1.254 states/eV per atom. The calculation puts the total energy at -6.054 eV/atom. The total magnetic moment is 0.0 μB per formula unit.

=====

Entry 7:
PmNd12Sm6: relaxed, PBE.

CIF file:
```
data_PmNd12Sm6
_chemical_formula_sum 'Pm3 Nd36 Sm18'
_space_group_name_H-M_alt 'R -3 m'
_space_group_IT_number 166
_space_group_name_Hall '-R 3 2"'
_cell_length_a 13.6027
_cell_length_b 13.6027
_cell_length_c 12.7418
_cell_angle_alpha 90.00
_cell_angle_beta 90.00
_cell_angle_gamma 120.00
loop_
_atom_site_label
_atom_site_type_symbol
_atom_site_fract_x
_atom_site_fract_y
_atom_site_fract_z
_atom_site_occupancy
Pm1 Pm 0.0000 0.0000 0.0000 1
Nd1 Nd 0.0000 0.2592 0.5000 1
Nd2 Nd 0.0900 0.1800 0.2644 1
Sm1 Sm 0.0440 0.5220 0.6165 1
```

Output
Its density of states at the Fermi level is 1.905 states/eV per atom. The total magnetic moment is 0.0 μB per formula unit. The value obtained for the excess energy over the best structure of this formula in the dataset is 0.000 eV/atom.

=====

Entry 8:
LiAcZn4In2: relaxed, PBE.

CIF file:
```
data_LiAcZn4In2
_chemical_formula_sum 'Li3 Ac3 Zn12 In6'
_space_group_name_H-M_alt 'R -3 m'
_space_group_IT_number 166
_space_group_name_Hall '-R 3 2"'
_cell_length_a 4.6570
_cell_length_b 4.6570
_cell_length_c 27.0624
_cell_angle_alpha 90.00
_cell_angle_beta 90.00
_cell_angle_gamma 120.00
loop_
_atom_site_label
_atom_site_type_symbol
_atom_site_fract_x
_atom_site_fract_y
_atom_site_fract_z
_atom_site_occupancy
Li1 Li 0.0000 0.0000 0.0000 1
Ac1 Ac 0.0000 0.0000 0.5000 1
Zn1 Zn 0.0000 0.0000 0.1008 1
Zn2 Zn 0.0000 0.0000 0.3674 1
In1 In 0.0000 0.0000 0.2599 1
```

Output
Its density of states at the Fermi level is 0.391 states/eV per atom. The calculation puts the total energy at -2.287 eV/atom. The total magnetic moment is 0.0 μB per formula unit.

=====

Entry 9:
Na3Hf2PaTe6: relaxed, PBE.

CIF file:
```
data_Na3Hf2PaTe6
_chemical_formula_sum 'Na6 Hf4 Pa2 Te12'
_space_group_name_H-M_alt 'C 1 2/m 1'
_space_group_IT_number 12
_space_group_name_Hall '-C 2y'
_cell_length_a 7.1405
_cell_length_b 12.3945
_cell_length_c 8.2428
_cell_angle_alpha 90.00
_cell_angle_beta 106.87
_cell_angle_gamma 90.00
loop_
_atom_site_label
_atom_site_type_symbol
_atom_site_fract_x
_atom_site_fract_y
_atom_site_fract_z
_atom_site_occupancy
Na1 Na 0.0000 0.0000 0.0000 1
Na2 Na 0.0000 0.3392 0.0000 1
Hf1 Hf 0.0000 0.1685 0.5000 1
Pa1 Pa 0.0000 0.5000 0.5000 1
Te1 Te 0.2264 0.0000 0.7262 1
Te2 Te 0.2492 0.1740 0.2714 1
```

Output
Its density of states at the Fermi level is 0.630 states/eV per atom. The total magnetic moment is 1.6 μB per formula unit. The energy relative to the elements, uncorrected is -0.829 eV per atom.

=====

Entry 10:
Li4TlSn: relaxed, PBE.

CIF file:
```
data_Li4TlSn
_chemical_formula_sum 'Li8 Tl2 Sn2'
_space_group_name_H-M_alt 'I m m m'
_space_group_IT_number 71
_space_group_name_Hall '-I 2 2'
_cell_length_a 4.6954
_cell_length_b 6.0014
_cell_length_c 8.1028
_cell_angle_alpha 90.00
_cell_angle_beta 90.00
_cell_angle_gamma 90.00
loop_
_atom_site_label
_atom_site_type_symbol
_atom_site_fract_x
_atom_site_fract_y
_atom_site_fract_z
_atom_site_occupancy
Li1 Li 0.0000 0.2445 0.1661 1
Tl1 Tl 0.0000 0.0000 0.5000 1
Sn1 Sn 0.0000 0.5000 0.5000 1
```

Output
Its density of states at the Fermi level is 0.354 states/eV per atom. The total magnetic moment is 0.0 μB per formula unit. The value obtained for the excess energy over the best structure of this formula in the dataset is 0.013 eV/atom.

=====

Entry 11:
TbAsRh: relaxed, PBE.

CIF file:
```
data_TbAsRh
_chemical_formula_sum 'Tb4 As4 Rh4'
_space_group_name_H-M_alt 'C 1 2/m 1'
_space_group_IT_number 12
_space_group_name_Hall '-C 2y'
_cell_length_a 10.2902
_cell_length_b 4.2782
_cell_length_c 5.7146
_cell_angle_alpha 90.00
_cell_angle_beta 104.20
_cell_angle_gamma 90.00
loop_
_atom_site_label
_atom_site_type_symbol
_atom_site_fract_x
_atom_site_fract_y
_atom_site_fract_z
_atom_site_occupancy
Tb1 Tb 0.1201 0.0000 0.3056 1
As1 As 0.0874 0.5000 0.7663 1
Rh1 Rh 0.1986 0.0000 0.8414 1
```

Output
Its density of states at the Fermi level is 0.428 states/eV per atom. The calculation puts the total energy at -6.536 eV/atom. The total magnetic moment is 0.0 μB per formula unit.

=====

Entry 12:
KPuIn4: relaxed, PBE.

CIF file:
```
data_KPuIn4
_chemical_formula_sum 'K4 Pu4 In16'
_space_group_name_H-M_alt 'F -4 3 m'
_space_group_IT_number 216
_space_group_name_Hall 'F -4 2 3'
_cell_length_a 8.8023
_cell_length_b 8.8023
_cell_length_c 8.8023
_cell_angle_alpha 90.00
_cell_angle_beta 90.00
_cell_angle_gamma 90.00
loop_
_atom_site_label
_atom_site_type_symbol
_atom_site_fract_x
_atom_site_fract_y
_atom_site_fract_z
_atom_site_occupancy
K1 K 0.0000 0.0000 0.0000 1
Pu1 Pu 0.2500 0.2500 0.2500 1
In1 In 0.1245 0.1245 0.6245 1
```

Output
Its density of states at the Fermi level is 3.024 states/eV per atom. The calculation puts the total energy at -4.442 eV/atom. The total magnetic moment is 6.0 μB per formula unit.

=====

> Look up the total magnetic moment of the tenth one.

0.0 μB per formula unit

=====

> Which value of total magnetic moment does entry 6 give?

0.0 μB per formula unit

=====

> What is the formula in the seventh record?

PmNd12Sm6

=====

Repeat the eighth record exactly.
LiAcZn4In2: relaxed, PBE.

CIF file:
```
data_LiAcZn4In2
_chemical_formula_sum 'Li3 Ac3 Zn12 In6'
_space_group_name_H-M_alt 'R -3 m'
_space_group_IT_number 166
_space_group_name_Hall '-R 3 2"'
_cell_length_a 4.6570
_cell_length_b 4.6570
_cell_length_c 27.0624
_cell_angle_alpha 90.00
_cell_angle_beta 90.00
_cell_angle_gamma 120.00
loop_
_atom_site_label
_atom_site_type_symbol
_atom_site_fract_x
_atom_site_fract_y
_atom_site_fract_z
_atom_site_occupancy
Li1 Li 0.0000 0.0000 0.0000 1
Ac1 Ac 0.0000 0.0000 0.5000 1
Zn1 Zn 0.0000 0.0000 0.1008 1
Zn2 Zn 0.0000 0.0000 0.3674 1
In1 In 0.0000 0.0000 0.2599 1
```

Output
Its density of states at the Fermi level is 0.391 states/eV per atom. The calculation puts the total energy at -2.287 eV/atom. The total magnetic moment is 0.0 μB per formula unit.